{"formula": "Nd8RuAu2", "functional": "PBE-GGA", "state": "optimized geometry", "formation_enthalpy_0k_mev_per_atom": -323, "mass_density_g_cm3": 8.5, "relative_energy_ev_per_atom": 0.000, "spacegroup": "C2/m", "lattice": [[8.950, -2.591, 0.000], [8.950, 2.591, 0.000], [-1.304, 0.000, 6.972]], "species": ["Nd", "Nd", "Nd", "Nd", "Nd", "Nd", "Nd", "Nd", "Ru", "Au", "Au"], "fractional_positions": [[0.026, 0.026, 0.284], [0.204, 0.204, 0.822], [0.343, 0.343, 0.531], [0.412, 0.412, 0.057], [0.588, 0.588, 0.943], [0.657, 0.657, 0.469], [0.796, 0.796, 0.178], [0.974, 0.974, 0.716], [0.500, 0.500, 0.500], [0.193, 0.193, 0.236], [0.807, 0.807, 0.764]]}

***

{"formula": "Nd4RuAu3", "functional": "PBE-GGA", "state": "optimized geometry", "formation_enthalpy_0k_mev_per_atom": -611, "mass_density_g_cm3": 10.7, "spacegroup": "P4/mmm", "lattice": [[3.620, 0.000, 0.000], [0.000, 3.620, 0.000], [0.000, 0.000, 15.072]], "species": ["Nd", "Nd", "Nd", "Nd", "Ru", "Au", "Au", "Au"], "fractional_positions": [[0.000, 0.000, 0.114], [0.000, 0.000, 0.371], [0.000, 0.000, 0.629], [0.000, 0.000, 0.886], [0.500, 0.500, 0.000], [0.500, 0.500, 0.245], [0.500, 0.500, 0.500], [0.500, 0.500, 0.755]]}

***

{"formula": "Nd8RuAu2", "functional": "PBE-GGA", "state": "optimized geometry", "formation_enthalpy_0k_mev_per_atom": -270, "mass_density_g_cm3": 8.2, "relative_energy_ev_per_atom": 0.053, "spacegroup": "Cm", "lattice": [[3.970, -8.110, 0.000], [3.970, 8.110, 0.000], [-3.751, 0.000, 5.159]], "species": ["Nd", "Nd", "Nd", "Nd", "Nd", "Nd", "Nd", "Nd", "Ru", "Au", "Au"], "fractional_positions": [[0.000, 0.000, 0.000], [0.168, 0.921, 0.561], [0.392, 0.619, 0.244], [0.455, 0.455, 0.685], [0.520, 0.908, 0.892], [0.619, 0.392, 0.244], [0.908, 0.520, 0.892], [0.921, 0.168, 0.561], [0.777, 0.777, 0.196], [0.025, 0.458, 0.348], [0.458, 0.025, 0.348]]}

***

{"formula": "Nd4RuAu", "functional": "PBE-GGA", "state": "optimized geometry", "formation_enthalpy_0k_mev_per_atom": -368, "mass_density_g_cm3": 8.5, "spacegroup": "C2/c", "lattice": [[4.512, -6.836, 0.000], [4.512, 6.836, 0.000], [-3.130, 0.000, 5.568]], "species": ["Nd", "Nd", "Nd", "Nd", "Nd", "Nd", "Nd", "Nd", "Ru", "Ru", "Au", "Au"], "fractional_positions": [[0.060, 0.702, 0.915], [0.219, 0.354, 0.691], [0.298, 0.940, 0.585], [0.354, 0.219, 0.191], [0.646, 0.781, 0.809], [0.702, 0.060, 0.415], [0.781, 0.646, 0.309], [0.940, 0.298, 0.085], [0.000, 0.000, 0.250], [0.000, 0.000, 0.750], [0.373, 0.627, 0.250], [0.627, 0.373, 0.750]]}

***

{"formula": "Nd5Ru2Au", "functional": "PBE-GGA", "state": "optimized geometry", "formation_enthalpy_0k_mev_per_atom": -373, "mass_density_g_cm3": 8.7, "spacegroup": "I4/mcm", "lattice": [[-3.940, 3.940, 6.859], [3.940, -3.940, 6.859], [3.940, 3.940, -6.859]], "species": ["Nd", "Nd", "Nd", "Nd", "Nd", "Nd", "Nd", "Nd", "Nd", "Nd", "Ru", "Ru", "Ru", "Ru", "Au", "Au"], "fractional_positions": [[0.000, 0.000, 0.000], [0.027, 0.527, 0.826], [0.201, 0.027, 0.500], [0.299, 0.799, 0.826], [0.473, 0.299, 0.500], [0.500, 0.500, 0.000], [0.527, 0.701, 0.500], [0.701, 0.201, 0.174], [0.799, 0.973, 0.500], [0.973, 0.473, 0.174], [0.138, 0.362, 0.500], [0.362, 0.862, 0.223], [0.638, 0.138, 0.777], [0.862, 0.638, 0.500], [0.250, 0.250, 0.000], [0.750, 0.750, 0.000]]}

***

{"formula": "Nd3RuAu2", "functional": "PBE-GGA", "state": "optimized geometry", "formation_enthalpy_0k_mev_per_atom": -559, "mass_density_g_cm3": 10.5, "relative_energy_ev_per_atom": 0.000, "spacegroup": "Cmmm", "lattice": [[2.585, -7.702, 0.000], [2.585, 7.702, 0.000], [0.000, 0.000, 7.344]], "species": ["Nd", "Nd", "Nd", "Nd", "Nd", "Nd", "Ru", "Ru", "Au", "Au", "Au", "Au"], "fractional_positions": [[0.000, 0.000, 0.239], [0.000, 0.000, 0.761], [0.328, 0.672, 0.235], [0.328, 0.672, 0.765], [0.672, 0.328, 0.235], [0.672, 0.328, 0.765], [0.169, 0.831, 0.000], [0.831, 0.169, 0.000], [0.164, 0.836, 0.500], [0.500, 0.500, 0.000], [0.500, 0.500, 0.500], [0.836, 0.164, 0.500]]}

***

{"formula": "Nd4RuAu2", "functional": "PBE-GGA", "state": "optimized geometry", "formation_enthalpy_0k_mev_per_atom": -504, "mass_density_g_cm3": 9.2, "spacegroup": "C2/m", "lattice": [[11.707, 0.000, 0.000], [0.000, 4.379, 0.000], [-4.521, 0.000, 7.523]], "species": ["Nd", "Nd", "Nd", "Nd", "Nd", "Nd", "Nd", "Nd", "Ru", "Ru", "Au", "Au", "Au", "Au"], "fractional_positions": [[0.075, 0.000, 0.359], [0.172, 0.500, 0.070], [0.328, 0.000, 0.930], [0.425, 0.500, 0.641], [0.575, 0.500, 0.359], [0.672, 0.000, 0.070], [0.828, 0.500, 0.930], [0.925, 0.000, 0.641], [0.000, 0.000, 0.000], [0.500, 0.500, 0.000], [0.140, 0.500, 0.662], [0.360, 0.000, 0.338], [0.640, 0.000, 0.662], [0.860, 0.500, 0.338]]}

***

{"formula": "Nd3RuAu2", "functional": "PBE-GGA", "state": "optimized geometry", "formation_enthalpy_0k_mev_per_atom": -467, "mass_density_g_cm3": 9.4, "relative_energy_ev_per_atom": 0.092, "spacegroup": "C2/c", "lattice": [[6.975, -2.999, 0.000], [6.975, 2.999, 0.000], [-2.404, 0.000, 7.821]], "species": ["Nd", "Nd", "Nd", "Nd", "Nd", "Nd", "Ru", "Ru", "Au", "Au", "Au", "Au"], "fractional_positions": [[0.002, 0.998, 0.750], [0.354, 0.357, 0.928], [0.357, 0.354, 0.428], [0.643, 0.646, 0.572], [0.646, 0.643, 0.072], [0.998, 0.002, 0.250], [0.498, 0.502, 0.250], [0.502, 0.498, 0.750], [0.174, 0.178, 0.588], [0.178, 0.174, 0.088], [0.822, 0.826, 0.912], [0.826, 0.822, 0.412]]}

***

{"formula": "Nd6RuAu2", "functional": "PBE-GGA", "state": "optimized geometry", "formation_enthalpy_0k_mev_per_atom": -404, "mass_density_g_cm3": 8.2, "spacegroup": "P2_1/c", "lattice": [[6.936, 0.000, 0.000], [0.000, 7.577, 0.000], [-6.473, 0.000, 10.509]], "species": ["Nd", "Nd", "Nd", "Nd", "Nd", "Nd", "Nd", "Nd", "Nd", "Nd", "Nd", "Nd", "Ru", "Ru", "Au", "Au", "Au", "Au"], "fractional_positions": [[0.111, 0.031, 0.252], [0.111, 0.469, 0.752], [0.243, 0.683, 0.067], [0.243, 0.817, 0.567], [0.387, 0.188, 0.062], [0.387, 0.312, 0.562], [0.613, 0.688, 0.438], [0.613, 0.812, 0.938], [0.757, 0.183, 0.433], [0.757, 0.317, 0.933], [0.889, 0.531, 0.248], [0.889, 0.969, 0.748], [0.000, 0.000, 0.000], [0.000, 0.500, 0.500], [0.317, 0.108, 0.763], [0.317, 0.392, 0.263], [0.683, 0.608, 0.737], [0.683, 0.892, 0.237]]}

***

{"formula": "Nd8RuAu5", "functional": "PBE-GGA", "state": "optimized geometry", "formation_enthalpy_0k_mev_per_atom": -565, "mass_density_g_cm3": 9.6, "spacegroup": "I-4", "lattice": [[-4.547, 4.547, 4.693], [4.547, -4.547, 4.693], [4.547, 4.547, -4.693]], "species": ["Nd", "Nd", "Nd", "Nd", "Nd", "Nd", "Nd", "Nd", "Ru", "Au", "Au", "Au", "Au", "Au"], "fractional_positions": [[0.017, 0.880, 0.276], [0.120, 0.396, 0.137], [0.131, 0.395, 0.623], [0.259, 0.983, 0.863], [0.492, 0.869, 0.264], [0.604, 0.741, 0.724], [0.605, 0.229, 0.736], [0.771, 0.508, 0.377], [0.250, 0.750, 0.500], [0.382, 0.251, 0.362], [0.500, 0.500, 0.000], [0.749, 0.111, 0.132], [0.889, 0.021, 0.638], [0.979, 0.618, 0.868]]}

***

{"formula": "Nd4RuAu", "functional": "PBE-GGA", "state": "optimized geometry", "formation_enthalpy_0k_mev_per_atom": -366, "mass_density_g_cm3": 8.7, "spacegroup": "F-43m", "lattice": [[0.000, 6.934, 6.934], [6.934, 0.000, 6.934], [6.934, 6.934, 0.000]], "species": ["Nd", "Nd", "Nd", "Nd", "Nd", "Nd", "Nd", "Nd", "Nd", "Nd", "Nd", "Nd", "Nd", "Nd", "Nd", "Nd", "Ru", "Ru", "Ru", "Ru", "Au", "Au", "Au", "Au"], "fractional_positions": [[0.189, 0.189, 0.811], [0.189, 0.811, 0.189], [0.189, 0.811, 0.811], [0.400, 0.400, 0.400], [0.400, 0.400, 0.801], [0.400, 0.801, 0.400], [0.558, 0.558, 0.942], [0.558, 0.942, 0.558], [0.558, 0.942, 0.942], [0.801, 0.400, 0.400], [0.811, 0.189, 0.189], [0.811, 0.189, 0.811], [0.811, 0.811, 0.189], [0.942, 0.558, 0.558], [0.942, 0.558, 0.942], [0.942, 0.942, 0.558], [0.165, 0.612, 0.612], [0.612, 0.165, 0.612], [0.612, 0.612, 0.165], [0.612, 0.612, 0.612], [0.161, 0.161, 0.161], [0.161, 0.161, 0.516], [0.161, 0.516, 0.161], [0.516, 0.161, 0.161]]}

***

{"formula": "NdScRuAu", "functional": "PBE-GGA", "state": "optimized geometry", "formation_enthalpy_0k_mev_per_atom": -459, "mass_density_g_cm3": 9.6, "spacegroup": "F-43m", "lattice": [[6.949, 0.000, 0.000], [0.000, 6.949, 0.000], [0.000, 0.000, 6.949]], "species": ["Nd", "Nd", "Nd", "Nd", "Sc", "Sc", "Sc", "Sc", "Ru", "Ru", "Ru", "Ru", "Au", "Au", "Au", "Au"], "fractional_positions": [[0.000, 0.000, 0.000], [0.000, 0.500, 0.500], [0.500, 0.000, 0.500], [0.500, 0.500, 0.000], [0.000, 0.000, 0.500], [0.000, 0.500, 0.000], [0.500, 0.000, 0.000], [0.500, 0.500, 0.500], [0.250, 0.250, 0.250], [0.250, 0.750, 0.750], [0.750, 0.250, 0.750], [0.750, 0.750, 0.250], [0.250, 0.250, 0.750], [0.250, 0.750, 0.250], [0.750, 0.250, 0.250], [0.750, 0.750, 0.750]]}

***

{"formula": "TbNdRuAu", "functional": "PBE-GGA", "state": "optimized geometry", "formation_enthalpy_0k_mev_per_atom": -478, "mass_density_g_cm3": 11.0, "spacegroup": "F-43m", "lattice": [[7.136, 0.000, 0.000], [0.000, 7.136, 0.000], [0.000, 0.000, 7.136]], "species": ["Tb", "Tb", "Tb", "Tb", "Nd", "Nd", "Nd", "Nd", "Ru", "Ru", "Ru", "Ru", "Au", "Au", "Au", "Au"], "fractional_positions": [[0.000, 0.000, 0.000], [0.000, 0.500, 0.500], [0.500, 0.000, 0.500], [0.500, 0.500, 0.000], [0.000, 0.000, 0.500], [0.000, 0.500, 0.000], [0.500, 0.000, 0.000], [0.500, 0.500, 0.500], [0.250, 0.250, 0.250], [0.250, 0.750, 0.750], [0.750, 0.250, 0.750], [0.750, 0.750, 0.250], [0.250, 0.250, 0.750], [0.250, 0.750, 0.250], [0.750, 0.250, 0.250], [0.750, 0.750, 0.750]]}

***

{"formula": "Nd6AuS5", "functional": "PBE-GGA", "state": "optimized geometry", "final_energy_ev_per_cell": -74.33, "mass_density_g_cm3": 6.9, "spacegroup": "C2/m", "lattice": [[3.562, -6.175, 0.000], [3.562, 6.175, 0.000], [-2.374, 0.000, 6.706]], "species": ["Nd", "Nd", "Nd", "Nd", "Nd", "Nd", "Au", "S", "S", "S", "S", "S"], "fractional_positions": [[0.071, 0.416, 0.744], [0.242, 0.242, 0.256], [0.416, 0.071, 0.744], [0.584, 0.929, 0.256], [0.758, 0.758, 0.744], [0.929, 0.584, 0.256], [0.500, 0.500, 0.000], [0.000, 0.000, 0.500], [0.166, 0.834, 0.000], [0.336, 0.664, 0.500], [0.664, 0.336, 0.500], [0.834, 0.166, 0.000]]}

***

{"formula": "Nd4AuS3", "functional": "PBE-GGA", "state": "optimized geometry", "final_energy_ev_per_cell": -96.38, "mass_density_g_cm3": 7.2, "spacegroup": "Cmmm", "lattice": [[8.324, 0.000, 0.000], [0.000, 11.747, 0.000], [0.000, 0.000, 4.102]], "species": ["Nd", "Nd", "Nd", "Nd", "Nd", "Nd", "Nd", "Nd", "Au", "Au", "S", "S", "S", "S", "S", "S"], "fractional_positions": [[0.000, 0.243, 0.000], [0.000, 0.757, 0.000], [0.240, 0.000, 0.500], [0.260, 0.500, 0.500], [0.500, 0.257, 0.000], [0.500, 0.743, 0.000], [0.740, 0.500, 0.500], [0.760, 0.000, 0.500], [0.000, 0.500, 0.000], [0.500, 0.000, 0.000], [0.000, 0.000, 0.000], [0.250, 0.250, 0.500], [0.250, 0.750, 0.500], [0.500, 0.500, 0.000], [0.750, 0.250, 0.500], [0.750, 0.750, 0.500]]}

***

{"formula": "Nd6AuS4", "functional": "PBE-GGA", "state": "optimized geometry", "final_energy_ev_per_cell": -132.40, "mass_density_g_cm3": 6.9, "spacegroup": "Cmcm", "lattice": [[2.017, -6.755, 0.000], [2.017, 6.755, 0.000], [0.000, 0.000, 20.996]], "species": ["Nd", "Nd", "Nd", "Nd", "Nd", "Nd", "Nd", "Nd", "Nd", "Nd", "Nd", "Nd", "Au", "Au", "S", "S", "S", "S", "S", "S", "S", "S"], "fractional_positions": [[0.000, 0.000, 0.000], [0.000, 0.000, 0.500], [0.171, 0.829, 0.750], [0.274, 0.726, 0.082], [0.274, 0.726, 0.418], [0.452, 0.548, 0.662], [0.452, 0.548, 0.838], [0.548, 0.452, 0.162], [0.548, 0.452, 0.338], [0.726, 0.274, 0.582], [0.726, 0.274, 0.918], [0.829, 0.171, 0.250], [0.160, 0.840, 0.250], [0.840, 0.160, 0.750], [0.091, 0.909, 0.624], [0.091, 0.909, 0.876], [0.363, 0.637, 0.540], [0.363, 0.637, 0.960], [0.637, 0.363, 0.040], [0.637, 0.363, 0.460], [0.909, 0.091, 0.124], [0.909, 0.091, 0.376]]}

***

{"formula": "Nd6Au2S", "functional": "PBE-GGA", "state": "optimized geometry", "final_energy_ev_per_cell": -92.53, "mass_density_g_cm3": 7.9, "spacegroup": "P2_1/c", "lattice": [[6.837, 0.000, 0.000], [0.000, 7.556, 0.000], [-6.321, 0.000, 10.546]], "species": ["Nd", "Nd", "Nd", "Nd", "Nd", "Nd", "Nd", "Nd", "Nd", "Nd", "Nd", "Nd", "Au", "Au", "Au", "Au", "S", "S"], "fractional_positions": [[0.102, 0.195, 0.435], [0.102, 0.305, 0.935], [0.267, 0.674, 0.433], [0.267, 0.826, 0.933], [0.397, 0.030, 0.247], [0.397, 0.470, 0.747], [0.603, 0.530, 0.253], [0.603, 0.970, 0.753], [0.733, 0.174, 0.067], [0.733, 0.326, 0.567], [0.898, 0.695, 0.065], [0.898, 0.805, 0.565], [0.170, 0.113, 0.736], [0.170, 0.387, 0.236], [0.830, 0.613, 0.764], [0.830, 0.887, 0.264], [0.500, 0.000, 0.500], [0.500, 0.500, 0.000]]}

***

{"formula": "Nd8AuS6", "functional": "PBE-GGA", "state": "optimized geometry", "final_energy_ev_per_cell": -88.76, "mass_density_g_cm3": 6.5, "spacegroup": "P-3", "lattice": [[10.498, 0.000, 0.000], [-5.249, 9.092, 0.000], [0.000, 0.000, 4.125]], "species": ["Nd", "Nd", "Nd", "Nd", "Nd", "Nd", "Nd", "Nd", "Au", "S", "S", "S", "S", "S", "S"], "fractional_positions": [[0.034, 0.704, 0.250], [0.296, 0.330, 0.250], [0.330, 0.034, 0.750], [0.333, 0.667, 0.751], [0.667, 0.333, 0.249], [0.670, 0.966, 0.250], [0.704, 0.670, 0.750], [0.966, 0.296, 0.750], [0.000, 0.000, 0.500], [0.134, 0.483, 0.250], [0.349, 0.866, 0.250], [0.483, 0.349, 0.750], [0.517, 0.651, 0.250], [0.651, 0.134, 0.750], [0.866, 0.517, 0.750]]}

***

{"formula": "Nd3AuS", "functional": "PBE-GGA", "state": "optimized geometry", "final_energy_ev_per_cell": -108.43, "mass_density_g_cm3": 7.8, "spacegroup": "Pnma", "lattice": [[9.136, 0.000, 0.000], [0.000, 3.989, 0.000], [0.000, 0.000, 15.488]], "species": ["Nd", "Nd", "Nd", "Nd", "Nd", "Nd", "Nd", "Nd", "Nd", "Nd", "Nd", "Nd", "Au", "Au", "Au", "Au", "S", "S", "S", "S"], "fractional_positions": [[0.008, 0.250, 0.106], [0.158, 0.250, 0.549], [0.176, 0.750, 0.292], [0.324, 0.250, 0.792], [0.342, 0.750, 0.049], [0.492, 0.750, 0.606], [0.508, 0.250, 0.394], [0.658, 0.250, 0.951], [0.676, 0.750, 0.208], [0.824, 0.250, 0.708], [0.842, 0.750, 0.451], [0.992, 0.750, 0.894], [0.101, 0.750, 0.697], [0.399, 0.250, 0.197], [0.601, 0.750, 0.803], [0.899, 0.250, 0.303], [0.186, 0.250, 0.955], [0.314, 0.750, 0.455], [0.686, 0.250, 0.545], [0.814, 0.750, 0.045]]}

***

{"formula": "Nd5AuS4", "functional": "PBE-GGA", "state": "optimized geometry", "final_energy_ev_per_cell": -61.19, "mass_density_g_cm3": 7.0, "spacegroup": "C2/m", "lattice": [[6.902, -2.040, 0.000], [6.902, 2.040, 0.000], [-5.088, 0.000, 8.804]], "species": ["Nd", "Nd", "Nd", "Nd", "Nd", "Au", "S", "S", "S", "S"], "fractional_positions": [[0.000, 0.000, 0.000], [0.204, 0.204, 0.809], [0.393, 0.393, 0.606], [0.607, 0.607, 0.394], [0.796, 0.796, 0.191], [0.000, 0.000, 0.500], [0.203, 0.203, 0.296], [0.402, 0.402, 0.100], [0.598, 0.598, 0.900], [0.797, 0.797, 0.704]]}